# LiInSbTe2

LiInSbTe2 after structural relaxation (PBE, Alexandria via LeMat-Bulk).

CIF file:
```
data_LiInSbTe2
_chemical_formula_sum 'Li1 In1 Sb1 Te2'
_cell_length_a 5.861
_cell_length_b 5.861
_cell_length_c 5.624
_cell_angle_alpha 90.00
_cell_angle_beta 90.00
_cell_angle_gamma 90.00
_space_group_name_H-M_alt 'P 4/m m m'
_space_group_IT_number 123
_space_group_name_Hall '-P 4 2'
loop_
_atom_site_label
_atom_site_fract_x
_atom_site_fract_y
_atom_site_fract_z
Li1 0.000 0.000 0.000
In1 0.500 0.500 0.500
Sb1 0.500 0.500 0.000
Te1 0.000 0.500 0.500
```

## Properties
Final energy ... -2.7088 eV per atom
Formation energy from raw total energies ... 0.303 eV per atom
ρ ... 4.3 g/cm³
Relative energy among the computed polymorphs ... 16.2 kJ/mol of atoms

=====

# HgPd2Pb

HgPd2Pb after structural relaxation (PBE, Alexandria via LeMat-Bulk).

CIF file:
```
data_HgPd2Pb
_chemical_formula_sum 'Hg3 Pd6 Pb3'
_cell_length_a 3.3040
_cell_length_b 3.3040
_cell_length_c 25.6595
_cell_angle_alpha 90.00
_cell_angle_beta 90.00
_cell_angle_gamma 120.00
_space_group_name_H-M_alt 'R 3 m'
_space_group_IT_number 160
_space_group_name_Hall 'R 3 -2"'
loop_
_atom_site_label
_atom_site_fract_x
_atom_site_fract_y
_atom_site_fract_z
Hg1 0.0000 0.0000 0.0000
Pd1 0.0000 0.0000 0.2499
Pd2 0.0000 0.0000 0.4164
Pb1 0.0000 0.0000 0.8331
```

## Properties
Final energy ... -3.6671 eV per atom
Energy relative to the elements ... -0.068 eV per atom
ρ ... 12.7 g/cm³

=====

# Cs5RbI6

Cs5RbI6 after structural relaxation (PBE, Alexandria via LeMat-Bulk).

CIF file:
```
data_Cs5RbI6
_chemical_formula_sum 'Cs10 Rb2 I12'
_cell_length_a 9.529
_cell_length_b 16.498
_cell_length_c 9.527
_cell_angle_alpha 90.00
_cell_angle_beta 109.54
_cell_angle_gamma 90.00
_space_group_name_H-M_alt 'C 1 2/m 1'
_space_group_IT_number 12
_space_group_name_Hall '-C 2y'
loop_
_atom_site_label
_atom_site_fract_x
_atom_site_fract_y
_atom_site_fract_z
Cs1 0.000 0.000 0.000
Cs2 0.000 0.167 0.500
Cs3 0.000 0.332 0.000
Rb1 0.000 0.500 0.500
I1 0.244 0.500 0.255
I2 0.245 0.337 0.746
```

## Properties
Final energy ... -2.7521 eV per atom
Formation energy from raw total energies ... -1.541 eV per atom
ρ ... 3.6 g/cm³

=====

# Dy7HoEr5

Dy7HoEr5 after structural relaxation (PBE, Alexandria via LeMat-Bulk).

CIF file:
```
data_Dy7HoEr5
_chemical_formula_sum 'Dy14 Ho2 Er10'
_cell_length_a 6.609
_cell_length_b 11.104
_cell_length_c 11.412
_cell_angle_alpha 90.00
_cell_angle_beta 90.00
_cell_angle_gamma 90.00
_space_group_name_H-M_alt 'I m m 2'
_space_group_IT_number 44
_space_group_name_Hall 'I 2 -2'
loop_
_atom_site_label
_atom_site_fract_x
_atom_site_fract_y
_atom_site_fract_z
Dy1 0.000 0.000 0.000
Dy2 0.000 0.000 0.307
Dy3 0.000 0.328 0.750
Dy4 0.000 0.329 0.252
Dy5 0.000 0.500 0.001
Ho1 0.000 0.000 0.693
Er1 0.000 0.500 0.501
Er2 0.233 0.228 0.501
```

## Properties
Final energy ... -4.3259 eV per atom
Energy relative to the elements ... 0.259 eV per atom
ρ ... 8.5 g/cm³

=====

# PuZr2Ag

PuZr2Ag after structural relaxation (PBE, Alexandria via LeMat-Bulk).

CIF file:
```
data_PuZr2Ag
_chemical_formula_sum 'Pu1 Zr2 Ag1'
_cell_length_a 3.238
_cell_length_b 3.238
_cell_length_c 8.437
_cell_angle_alpha 90.00
_cell_angle_beta 90.00
_cell_angle_gamma 90.00
_space_group_name_H-M_alt 'P 4/m m m'
_space_group_IT_number 123
_space_group_name_Hall '-P 4 2'
loop_
_atom_site_label
_atom_site_fract_x
_atom_site_fract_y
_atom_site_fract_z
Pu1 0.000 0.000 0.000
Zr1 0.500 0.500 0.264
Ag1 0.000 0.000 0.500
```

## Properties
Final energy ... -8.5300 eV per atom
Energy relative to the elements ... 0.040 eV per atom
ρ ... 10.0 g/cm³
Relative energy among the computed polymorphs ... 0.0 kJ/mol of atoms

=====

# KMn3Se

KMn3Se after structural relaxation (PBE, Alexandria via LeMat-Bulk).

CIF file:
```
data_KMn3Se
_chemical_formula_sum 'K1 Mn3 Se1'
_cell_length_a 4.797
_cell_length_b 4.797
_cell_length_c 4.797
_cell_angle_alpha 90.00
_cell_angle_beta 90.00
_cell_angle_gamma 90.00
_space_group_name_H-M_alt 'P m -3 m'
_space_group_IT_number 221
_space_group_name_Hall '-P 4 2 3'
loop_
_atom_site_label
_atom_site_fract_x
_atom_site_fract_y
_atom_site_fract_z
K1 0.000 0.000 0.000
Mn1 0.000 0.500 0.500
Se1 0.500 0.500 0.500
```

## Properties
Final energy ... -5.7261 eV per atom
Formation energy from raw total energies ... 0.692 eV per atom
ρ ... 4.3 g/cm³
Relative energy among the computed polymorphs ... 0.0 kJ/mol of atoms

=====

# HgSbAu2

HgSbAu2 after structural relaxation (PBE, Alexandria via LeMat-Bulk).

CIF file:
```
data_HgSbAu2
_chemical_formula_sum 'Hg1 Sb1 Au2'
_cell_length_a 3.995
_cell_length_b 4.205
_cell_length_c 5.642
_cell_angle_alpha 90.00
_cell_angle_beta 90.00
_cell_angle_gamma 90.00
_space_group_name_H-M_alt 'P m m m'
_space_group_IT_number 47
_space_group_name_Hall '-P 2 2'
loop_
_atom_site_label
_atom_site_fract_x
_atom_site_fract_y
_atom_site_fract_z
Hg1 0.000 0.000 0.000
Sb1 0.500 0.500 0.500
Au1 0.000 0.000 0.500
Au2 0.500 0.500 0.000
```

## Properties
Final energy ... -2.7216 eV per atom
Formation energy from raw total energies ... 0.023 eV per atom
ρ ... 12.5 g/cm³
Relative energy among the computed polymorphs ... 0.0 kJ/mol of atoms

=====

# YCr2Sn2

YCr2Sn2 after structural relaxation (PBE, Alexandria via LeMat-Bulk).

CIF file:
```
data_YCr2Sn2
_chemical_formula_sum 'Y2 Cr4 Sn4'
_cell_length_a 4.295
_cell_length_b 4.295
_cell_length_c 12.118
_cell_angle_alpha 90.00
_cell_angle_beta 90.00
_cell_angle_gamma 90.00
_space_group_name_H-M_alt 'I 4/m m m'
_space_group_IT_number 139
_space_group_name_Hall '-I 4 2'
loop_
_atom_site_label
_atom_site_fract_x
_atom_site_fract_y
_atom_site_fract_z
Y1 0.000 0.000 0.000
Cr1 0.000 0.500 0.250
Sn1 0.000 0.000 0.383
```

## Properties
Final energy ... -6.7171 eV per atom
Energy relative to the elements ... 0.026 eV per atom
ρ ... 6.4 g/cm³
Relative energy among the computed polymorphs ... 1.1 kJ/mol of atoms